(1)
Material: RbZn2In8Au
Method: DFT, PBE
State: relaxed

Computed properties:
Total magnetization, Bohr magnetons per cell: 0.0
Total energy, eV/f.u.: -28.86

Unit cell a=10.195 b=6.870 c=9.788 alpha=90.00 beta=111.45 gamma=90.00
Space group C2/m (No. 12)
One atom of each set of equivalent atoms:
1 Rb 0.000 0.000 0.000 (multiplicity 2)
2 Zn 0.106 0.500 0.286 (multiplicity 4)
3 In 0.148 0.500 0.990 (multiplicity 4)
4 In 0.153 0.234 0.724 (multiplicity 8)
5 In 0.155 0.000 0.420 (multiplicity 4)
6 Au 0.000 0.500 0.500 (multiplicity 2)



(2)
Material: RbZnInAu2
Method: DFT, PBE
State: relaxed

Computed properties:
Total magnetization, Bohr magnetons per cell: 0.0
Total energy, eV/f.u.: -12.65

Unit cell a=4.736 b=4.736 c=11.666 alpha=90.00 beta=90.00 gamma=90.00
Space group I-4m2 (No. 119)
One atom of each set of equivalent atoms:
1 Rb 0.000 0.000 0.000 (multiplicity 2)
2 Zn 0.000 0.500 0.750 (multiplicity 2)
3 In 0.000 0.500 0.250 (multiplicity 2)
4 Au 0.000 0.000 0.377 (multiplicity 4)



(3)
Material: RbZn2InAu
Method: DFT, PBE
State: relaxed

Computed properties:
Total magnetization, Bohr magnetons per cell: 0.0
Total energy, eV/f.u.: -9.57

Unit cell a=5.117 b=5.117 c=5.490 alpha=90.00 beta=90.00 gamma=90.00
Space group P4/mmm (No. 123)
One atom of each set of equivalent atoms:
1 Rb 0.000 0.000 0.000 (multiplicity 1)
2 Zn 0.000 0.500 0.500 (multiplicity 2)
3 In 0.500 0.500 0.000 (multiplicity 1)
4 Au 0.500 0.500 0.500 (multiplicity 1)



(4)
Material: InReAu
Method: DFT, PBE
State: relaxed

Computed properties:
Total magnetization, Bohr magnetons per cell: 1.6
Total energy, eV/f.u.: -16.75
Energy above the lowest structure with this stoichiometry, eV/atom: 0.064

Unit cell a=2.929 b=2.929 c=12.519 alpha=90.00 beta=90.00 gamma=90.00
Space group I4mm (No. 107)
One atom of each set of equivalent atoms:
1 In 0.000 0.000 0.000 (multiplicity 2)
2 Re 0.000 0.000 0.336 (multiplicity 2)
3 Au 0.000 0.000 0.679 (multiplicity 2)



(5)
Material: InReAu2
Method: DFT, PBE
State: relaxed

Computed properties:
Total magnetization, Bohr magnetons per cell: 5.1
Total energy, eV/f.u.: -18.81

Unit cell a=3.944 b=3.944 c=20.104 alpha=90.00 beta=90.00 gamma=90.00
Space group I-42d (No. 122)
One atom of each set of equivalent atoms:
1 In 0.000 0.000 0.000 (multiplicity 4)
2 Re 0.000 0.000 0.500 (multiplicity 4)
3 Au 0.243 0.250 0.625 (multiplicity 8)



(6)
Material: InReAu2
Method: DFT, PBE
State: relaxed

Computed properties:
Total magnetization, Bohr magnetons per cell: 0.0
Total energy, eV/f.u.: -19.89

Unit cell a=2.927 b=5.027 c=9.792 alpha=90.00 beta=90.00 gamma=90.00
Space group Imm2 (No. 44)
One atom of each set of equivalent atoms:
1 In 0.000 0.000 0.000 (multiplicity 2)
2 Re 0.000 0.500 0.252 (multiplicity 2)
3 Au 0.000 0.000 0.510 (multiplicity 2)
4 Au 0.000 0.500 0.753 (multiplicity 2)